[1]
Compound: CsCoSbPt2
Source: Alexandria via LeMat-Bulk
Functional: PBE
Structure: relaxed

Cell: 5.0429 4.7578 5.0429 Å, 90.00 90.00 90.00°
With the nearest neighbours (Å) after each atom.
Atoms (fractional coordinates):
Cs  0.5000  0.5000  0.5000  8 Pt 3.47, 4 Sb 3.57
Sb  0.0000  0.5000  0.0000  2 Co 2.38
Co  0.0000  0.0000  0.0000  2 Sb 2.38, 4 Pt 2.52
Pt  0.0000  0.0000  0.5000  2 Co 2.52
Pt  0.5000  0.0000  0.0000  2 Co 2.52

Computed properties:
D(E_F), states/eV/f.u.: 5.27
Total magnetization, μB/f.u.: 2.38
Formation energy (no corrections), eV/atom: 0.5091

***

[2]
Compound: Cs2CoPtSe4
Source: Alexandria via LeMat-Bulk
Functional: PBE
Structure: relaxed

Cell: 5.9140 7.8068 12.4537 Å, 84.84 76.26 67.74°
With the nearest neighbours (Å) after each atom.
Atoms (fractional coordinates):
Cs  0.1818  0.0000  0.6364  8 Se 3.67-3.88
Cs  0.8182  0.0000  0.3636  8 Se 3.67-3.88
Cs  0.5682  0.5000  0.8636  8 Se 3.67-3.88
Cs  0.9318  0.5000  0.1364  8 Se 3.67-3.88
Co  0.2500  0.5000  0.5000  4 Se 2.29
Co  0.5000  0.0000  0.0000  4 Se 2.29
Pt  0.7500  0.5000  0.5000  4 Se 2.46
Pt  0.0000  0.0000  0.0000  4 Se 2.46
Se  0.3071  0.8220  0.1107  1 Co 2.29, 1 Pt 2.46
Se  0.2398  0.1780  0.8893  1 Co 2.29, 1 Pt 2.46
Se  0.8709  0.8220  0.8893  1 Co 2.29, 1 Pt 2.46
Se  0.5822  0.1780  0.1107  1 Co 2.29, 1 Pt 2.46
Se  0.4429  0.6780  0.3893  1 Co 2.29, 1 Pt 2.46
Se  0.5102  0.3220  0.6107  1 Co 2.29, 1 Pt 2.46
Se  0.8791  0.6780  0.6107  1 Co 2.29, 1 Pt 2.46
Se  0.1678  0.3220  0.3893  1 Co 2.29, 1 Pt 2.46

Computed properties:
D(E_F), states/eV/f.u.: 7.23
Total magnetization, μB/f.u.: 0.64
Formation energy (no corrections), eV/atom: -0.5690

***

[3]
Compound: CsTiCo2Pt
Source: Alexandria via LeMat-Bulk
Functional: PBE
Structure: relaxed

Cell: 4.6070 5.1998 4.6070 Å, 90.00 90.00 90.00°
With the nearest neighbours (Å) after each atom.
Atoms (fractional coordinates):
Cs  0.0000  0.0000  0.0000  4 Co 2.30
Co  0.0000  0.0000  0.5000  2 Cs 2.30
Co  0.5000  0.0000  0.0000  2 Cs 2.30
Pt  0.0000  0.5000  0.0000  2 Cs 2.60
Ti  0.5000  0.5000  0.5000  4 Pt 3.26, 8 Co 3.47

Computed properties:
D(E_F), states/eV/f.u.: 9.23
Total magnetization, μB/f.u.: 2.97
Formation enthalpy at 0 K, meV/atom: 2280

***

[4]
Compound: CsPu2CoS4
Source: Alexandria via LeMat-Bulk
Functional: PBE
Structure: relaxed

Cell: 3.9712 7.3941 13.6231 Å, 90.00 90.00 105.58°
With the nearest neighbours (Å) after each atom.
Atoms (fractional coordinates):
Cs  0.0985  0.1970  0.7500  8 S 3.37-3.68
Cs  0.9015  0.8030  0.2500  8 S 3.37-3.68
Pu  0.3658  0.7317  0.5565  6 S 2.70-2.86
Pu  0.6342  0.2683  0.0565  6 S 2.70-2.86
Pu  0.6342  0.2683  0.4435  6 S 2.70-2.86
Pu  0.3658  0.7317  0.9435  6 S 2.70-2.86
Co  0.8261  0.6522  0.7500  4 S 2.25-2.30
Co  0.1739  0.3478  0.2500  4 S 2.25-2.30
S  0.2547  0.5094  0.1085  1 Co 2.25
S  0.7453  0.4906  0.6085  1 Co 2.25
S  0.7453  0.4906  0.8915  1 Co 2.25
S  0.2547  0.5094  0.3915  1 Co 2.25
S  0.0000  0.0000  0.5000  4 Pu 2.86
S  0.0000  0.0000  0.0000  4 Pu 2.86
S  0.4074  0.8149  0.7500  2 Co 2.30
S  0.5926  0.1851  0.2500  2 Co 2.30

Computed properties:
D(E_F), states/eV/f.u.: 17.00
Total magnetization, μB/f.u.: 8.00
Formation energy (no corrections), eV/atom: -1.3758

***

[5]
Compound: Cs4Pu3CoS8
Source: Alexandria via LeMat-Bulk
Functional: PBE
Structure: relaxed

Cell: 8.0931 9.2636 8.0994 Å, 115.94 119.97 90.00°
With the nearest neighbours (Å) after each atom.
Atoms (fractional coordinates):
Cs  0.5000  0.0000  0.0000  6 S 3.54-3.55
Cs  0.5000  0.0000  0.5000  6 S 3.45-3.48
Cs  0.0000  0.0000  0.0000  6 S 3.46-3.48
Cs  0.0000  0.0000  0.5000  6 S 3.45-3.48
Pu  0.5000  0.5000  0.0000  6 S 2.75
Pu  0.5000  0.5000  0.5000  6 S 2.75
Pu  0.0000  0.5000  0.5000  6 S 2.75
Co  0.0000  0.5000  0.0000  6 S 2.66-2.67
S  0.2193  0.6731  0.9536  1 Co 2.66, 2 Pu 2.75
S  0.2204  0.6739  0.4409  1 Co 2.67, 2 Pu 2.75
S  0.2727  0.3181  0.5454  3 Pu 2.75
S  0.7343  0.6731  0.9536  1 Co 2.66, 2 Pu 2.75
S  0.2657  0.3269  0.0464  1 Co 2.66, 2 Pu 2.75
S  0.7273  0.6819  0.4546  3 Pu 2.75
S  0.7796  0.3261  0.5591  1 Co 2.67, 2 Pu 2.75
S  0.7807  0.3269  0.0464  1 Co 2.66, 2 Pu 2.75

Computed properties:
D(E_F), states/eV/f.u.: 31.35
Total magnetization, μB/f.u.: 11.00
Formation energy (no corrections), eV/atom: -1.2330

***

[6]
Compound: Cs2Pu2CoSe6
Source: Alexandria via LeMat-Bulk
Functional: PBE
Structure: relaxed

Cell: 6.8933 6.8933 8.8916 Å, 98.19 98.19 118.88°
With the nearest neighbours (Å) after each atom.
Atoms (fractional coordinates):
Cs  0.8265  0.1735  0.0000  6 Se 3.59-3.70, 2 Cs 3.95
Cs  0.1735  0.8265  0.0000  6 Se 3.59-3.70, 2 Cs 3.95
Pu  0.3318  0.6682  0.5000  6 Se 2.84-2.86
Pu  0.6682  0.3318  0.5000  6 Se 2.84-2.86
Co  0.0000  0.0000  0.5000  6 Se 2.53-2.54
Se  0.7643  0.7643  0.6691  1 Co 2.53
Se  0.0659  0.3624  0.6734  1 Co 2.54
Se  0.2357  0.2357  0.3309  1 Co 2.53
Se  0.3624  0.0659  0.6734  1 Co 2.54
Se  0.9341  0.6376  0.3266  1 Co 2.54
Se  0.6376  0.9341  0.3266  1 Co 2.54

Computed properties:
D(E_F), states/eV/f.u.: 18.24
Total magnetization, μB/f.u.: 8.99
Formation energy (no corrections), eV/atom: -1.0276

***

[7]
Compound: Cs2PuCoSe4
Source: Alexandria via LeMat-Bulk
Functional: PBE
Structure: relaxed

Cell: 6.3007 8.1406 13.7981 Å, 84.93 76.80 67.23°
With the nearest neighbours (Å) after each atom.
Atoms (fractional coordinates):
Cs  0.1783  0.0000  0.6433  8 Se 3.75-4.14
Cs  0.8217  0.0000  0.3567  8 Se 3.75-4.14
Cs  0.5717  0.5000  0.8567  8 Se 3.75-4.14
Cs  0.9283  0.5000  0.1433  8 Se 3.75-4.14
Pu  0.7500  0.5000  0.5000  4 Se 2.70
Pu  0.0000  0.0000  0.0000  4 Se 2.70
Co  0.2500  0.5000  0.5000  4 Se 2.41
Co  0.5000  0.0000  0.0000  4 Se 2.41
Se  0.3331  0.8071  0.1030  1 Co 2.41
Se  0.2433  0.1929  0.8970  1 Co 2.41
Se  0.8597  0.8071  0.8970  1 Co 2.41
Se  0.5638  0.1929  0.1030  1 Co 2.41
Se  0.4169  0.6929  0.3970  1 Co 2.41
Se  0.5067  0.3071  0.6030  1 Co 2.41
Se  0.8903  0.6929  0.6030  1 Co 2.41
Se  0.1862  0.3071  0.3970  1 Co 2.41

Computed properties:
D(E_F), states/eV/f.u.: 15.20
Total magnetization, μB/f.u.: 0.96
Formation energy (no corrections), eV/atom: -0.8467

***

[8]
Compound: CsRbCo2
Source: Alexandria via LeMat-Bulk
Functional: PBE
Structure: relaxed

Cell: 6.1936 6.1936 6.1936 Å, 60.00 60.00 60.00°
With the nearest neighbours (Å) after each atom.
Atoms (fractional coordinates):
Cs  0.5000  0.5000  0.5000  8 Co 3.79
Co  0.2500  0.2500  0.2500  4 Cs 3.79, 4 Rb 3.79
Co  0.7500  0.7500  0.7500  4 Cs 3.79, 4 Rb 3.79
Rb  0.0000  0.0000  0.0000  8 Co 3.79

Computed properties:
D(E_F), states/eV/f.u.: 0.48
Total magnetization, μB/f.u.: 4.03
Formation enthalpy at 0 K, meV/atom: 1469

***

[9]
Compound: CsRb3Co
Source: Alexandria via LeMat-Bulk
Functional: PBE
Structure: relaxed

Cell: 7.0242 7.0242 7.0242 Å, 90.00 90.00 90.00°
With the nearest neighbours (Å) after each atom.
Atoms (fractional coordinates):
Cs  0.5000  0.5000  0.5000  12 Rb 4.97
Rb  0.0000  0.5000  0.0000  2 Co 3.51
Rb  0.0000  0.0000  0.5000  2 Co 3.51
Rb  0.5000  0.0000  0.0000  2 Co 3.51
Co  0.0000  0.0000  0.0000  6 Rb 3.51

Computed properties:
D(E_F), states/eV/f.u.: 19.06
Total magnetization, μB/f.u.: 0.21
Formation enthalpy at 0 K, meV/atom: 737

***

[10]
Compound: CsRbCo3
Source: Alexandria via LeMat-Bulk
Functional: PBE
Structure: relaxed

Cell: 5.0900 5.0900 5.0900 Å, 90.00 90.00 90.00°
With the nearest neighbours (Å) after each atom.
Atoms (fractional coordinates):
Cs  0.0000  0.0000  0.0000  6 Co 2.54
Co  0.0000  0.5000  0.0000  2 Cs 2.54
Co  0.0000  0.0000  0.5000  2 Cs 2.54
Co  0.5000  0.0000  0.0000  2 Cs 2.54
Rb  0.5000  0.5000  0.5000  12 Co 3.60

Computed properties:
Energy above the most stable polymorph in this dataset, meV/atom: 100
D(E_F), states/eV/f.u.: 8.96
Total magnetization, μB/f.u.: 2.79
Formation enthalpy at 0 K, meV/atom: 2275

***

[11]
Compound: Cs2RbCo
Source: Alexandria via LeMat-Bulk
Functional: PBE
Structure: relaxed

Cell: 6.7233 6.7233 6.7233 Å, 60.00 60.00 60.00°
With the nearest neighbours (Å) after each atom.
Atoms (fractional coordinates):
Cs  0.2500  0.2500  0.2500  4 Rb 4.12, 4 Co 4.12
Cs  0.7500  0.7500  0.7500  4 Co 4.12, 4 Rb 4.12
Co  0.0000  0.0000  0.0000  8 Cs 4.12
Rb  0.5000  0.5000  0.5000  8 Cs 4.12

Computed properties:
Energy above the most stable polymorph in this dataset, meV/atom: 0
D(E_F), states/eV/f.u.: 11.93
Total magnetization, μB/f.u.: 1.91
Formation enthalpy at 0 K, meV/atom: 864

***

[12]
Compound: Cs2RbCo
Source: Alexandria via LeMat-Bulk
Functional: PBE
Structure: relaxed

Cell: 10.1970 10.1970 10.2131 Å, 60.05 60.05 90.00°
With the nearest neighbours (Å) after each atom.
Atoms (fractional coordinates):
Cs  0.3795  0.1250  0.2500  2 Co 3.13
Cs  0.3705  0.6250  0.2500  2 Co 3.13
Cs  0.3750  0.6205  0.7500  2 Co 3.13
Cs  0.8750  0.6295  0.7500  2 Co 3.13
Co  0.5000  0.5000  0.0000  4 Cs 3.13
Co  0.2500  0.7500  0.5000  4 Cs 3.13
Rb  0.0000  0.0000  0.0000  8 Cs 5.94-5.99
Rb  0.7500  0.2500  0.5000  8 Cs 5.94-5.99

Computed properties:
Energy above the most stable polymorph in this dataset, meV/atom: 35
D(E_F), states/eV/f.u.: 7.23
Total magnetization, μB/f.u.: 1.49
Formation enthalpy at 0 K, meV/atom: 899

***

Computed VASP energy (eV/atom) in order:
-4.3236, -4.1680, -3.5197, -8.0174, -6.6415, -6.3352, -5.4821, -2.5389, -1.4351, -2.3532, -1.5816, -1.5465